This record from Alexandria describes a geometry-optimized CdNiNF2 structure. The functional is PBE with a Hubbard U.

abc: 3.865 3.865 4.115
angles: 90.00 90.00 90.00
Atoms (fractional coordinates):
1 Cd 0.000 0.000 0.000
2 Ni 0.500 0.500 0.500
3 N 0.500 0.500 0.000
4 F 0.000 0.500 0.500
5 F 0.500 0.000 0.500

Results
E (eV/atom): -3.6996